No. 1
This record from the Open Quantum Materials Database describes crystalline LuFePd at its relaxed geometry. The functional is PBE.

Cell lengths 6.262, 6.262, 6.262 Å; angles 90.00, 90.00, 90.00 degrees
Space group F-43m (No. 216)
One atom of each set of equivalent atoms:
Lu: 0.000 0.000 0.000 (multiplicity 4)
Fe: 0.250 0.250 0.750 (multiplicity 4)
Pd: 0.250 0.250 0.250 (multiplicity 4)

Properties
Crystal system: cubic
Energy of formation, kcal/mol of atoms: 9.55

***

No. 2
This record from the Open Quantum Materials Database describes crystalline LuFeSnPd at its relaxed geometry. The functional is PBE.

Cell lengths 6.590, 6.590, 6.590 Å; angles 90.00, 90.00, 90.00 degrees
Space group F-43m (No. 216)
One atom of each set of equivalent atoms:
Lu: 0.000 0.000 0.000 (multiplicity 4)
Fe: 0.250 0.250 0.750 (multiplicity 4)
Sn: 0.000 0.000 0.500 (multiplicity 4)
Pd: 0.250 0.250 0.250 (multiplicity 4)

Properties
Energy relative to the lowest polymorph listed for this composition, meV per atom: 0
Crystal system: cubic

***

No. 3
This record from the Open Quantum Materials Database describes crystalline LuFeSnPd at its relaxed geometry. The functional is PBE.

Cell lengths 6.711, 6.711, 6.711 Å; angles 90.00, 90.00, 90.00 degrees
Space group F-43m (No. 216)
One atom of each set of equivalent atoms:
Lu: 0.000 0.000 0.000 (multiplicity 4)
Fe: 0.000 0.000 0.500 (multiplicity 4)
Sn: 0.250 0.250 0.250 (multiplicity 4)
Pd: 0.250 0.250 0.750 (multiplicity 4)

Properties
Energy relative to the lowest polymorph listed for this composition, meV per atom: 187
Crystal system: cubic

***

No. 4
This record from the Open Quantum Materials Database describes crystalline LuZnFePd at its relaxed geometry. The functional is PBE.

Cell lengths 6.399, 6.399, 6.399 Å; angles 90.00, 90.00, 90.00 degrees
Space group F-43m (No. 216)
One atom of each set of equivalent atoms:
Lu: 0.000 0.000 0.000 (multiplicity 4)
Zn: 0.000 0.000 0.500 (multiplicity 4)
Fe: 0.250 0.250 0.750 (multiplicity 4)
Pd: 0.250 0.250 0.250 (multiplicity 4)

Properties
Energy relative to the lowest polymorph listed for this composition, meV per atom: 0
Crystal system: cubic
Energy of formation, kcal/mol of atoms: -5.76

***

No. 5
This record from the Open Quantum Materials Database describes crystalline LuZnFePd at its relaxed geometry. The functional is PBE.

Cell lengths 6.495, 6.495, 6.495 Å; angles 90.00, 90.00, 90.00 degrees
Space group F-43m (No. 216)
One atom of each set of equivalent atoms:
Lu: 0.000 0.000 0.000 (multiplicity 4)
Zn: 0.250 0.250 0.250 (multiplicity 4)
Fe: 0.000 0.000 0.500 (multiplicity 4)
Pd: 0.250 0.250 0.750 (multiplicity 4)

Properties
Energy relative to the lowest polymorph listed for this composition, meV per atom: 51
Crystal system: cubic
Energy of formation, kcal/mol of atoms: -4.57

***

No. 6
This record from the Open Quantum Materials Database describes crystalline PrLuFe at its relaxed geometry. The functional is PBE.

Cell lengths 6.674, 6.674, 6.674 Å; angles 90.00, 90.00, 90.00 degrees
Space group F-43m (No. 216)
One atom of each set of equivalent atoms:
Pr: 0.000 0.000 0.000 (multiplicity 4)
Lu: 0.000 0.000 0.500 (multiplicity 4)
Fe: 0.250 0.250 0.750 (multiplicity 4)

Properties
Energy relative to the lowest polymorph listed for this composition, meV per atom: 0
Crystal system: cubic
Energy of formation, kcal/mol of atoms: 5.80

***

No. 7
This record from the Open Quantum Materials Database describes crystalline PrLuFe2Si2 at its relaxed geometry. The functional is PBE.

Cell lengths 4.033, 4.033, 6.639 Å; angles 90.00, 90.00, 90.00 degrees
Space group P4mm (No. 99)
One atom of each set of equivalent atoms:
Pr: 0.000 0.000 0.000 (multiplicity 1)
Lu: 0.500 0.500 0.368 (multiplicity 1)
Fe: 0.000 0.500 0.659 (multiplicity 2)
Si: 0.000 0.000 0.489 (multiplicity 1)
Si: 0.500 0.500 0.834 (multiplicity 1)

Properties
Crystal system: tetragonal
Calculated total energy, eV/atom: -6.72

***

No. 8
This record from the Open Quantum Materials Database describes crystalline LuFe2Pt at its relaxed geometry. The functional is PBE.

Cell lengths 6.318, 6.318, 6.318 Å; angles 90.00, 90.00, 90.00 degrees
Space group F-43m (No. 216)
One atom of each set of equivalent atoms:
Lu: 0.000 0.000 0.000 (multiplicity 4)
Fe: 0.000 0.000 0.500 (multiplicity 4)
Fe: 0.250 0.250 0.250 (multiplicity 4)
Pt: 0.250 0.250 0.750 (multiplicity 4)

Properties
Crystal system: cubic
Energy of formation, kcal/mol of atoms: -6.22

***

No. 9
This record from the Open Quantum Materials Database describes crystalline LuFePt at its relaxed geometry. The functional is PBE.

Cell lengths 6.310, 6.310, 6.310 Å; angles 90.00, 90.00, 90.00 degrees
Space group F-43m (No. 216)
One atom of each set of equivalent atoms:
Lu: 0.000 0.000 0.000 (multiplicity 4)
Fe: 0.000 0.000 0.500 (multiplicity 4)
Pt: 0.250 0.250 0.750 (multiplicity 4)

Properties
Crystal system: cubic
Energy of formation, kcal/mol of atoms: -8.31

***

No. 10
This record from the Open Quantum Materials Database describes crystalline Lu2FePt at its relaxed geometry. The functional is PBE.

Cell lengths 6.650, 6.650, 6.650 Å; angles 90.00, 90.00, 90.00 degrees
Space group F-43m (No. 216)
One atom of each set of equivalent atoms:
Lu: 0.000 0.000 0.000 (multiplicity 4)
Lu: 0.250 0.250 0.250 (multiplicity 4)
Fe: 0.250 0.250 0.750 (multiplicity 4)
Pt: 0.000 0.000 0.500 (multiplicity 4)

Properties
Crystal system: cubic
Energy of formation, kcal/mol of atoms: -5.56

***

No. 11
This record from the Open Quantum Materials Database describes crystalline LuFePt at its relaxed geometry. The functional is PBE.

Cell lengths 6.305, 6.305, 6.305 Å; angles 90.00, 90.00, 90.00 degrees
Space group F-43m (No. 216)
One atom of each set of equivalent atoms:
Lu: 0.000 0.000 0.000 (multiplicity 4)
Fe: 0.250 0.250 0.750 (multiplicity 4)
Pt: 0.250 0.250 0.250 (multiplicity 4)

Properties
Crystal system: cubic
Energy of formation, kcal/mol of atoms: 4.65

***

No. 12
This record from the Open Quantum Materials Database describes crystalline LuFeSnPt at its relaxed geometry. The functional is PBE.

Cell lengths 6.630, 6.630, 6.630 Å; angles 90.00, 90.00, 90.00 degrees
Space group F-43m (No. 216)
One atom of each set of equivalent atoms:
Lu: 0.000 0.000 0.000 (multiplicity 4)
Fe: 0.000 0.000 0.500 (multiplicity 4)
Sn: 0.250 0.250 0.250 (multiplicity 4)
Pt: 0.250 0.250 0.750 (multiplicity 4)

Properties
Energy relative to the lowest polymorph listed for this composition, meV per atom: 203
Crystal system: cubic

***

No. 13
This record from the Open Quantum Materials Database describes crystalline LuFeSnPt at its relaxed geometry. The functional is PBE.

Cell lengths 6.601, 6.601, 6.601 Å; angles 90.00, 90.00, 90.00 degrees
Space group F-43m (No. 216)
One atom of each set of equivalent atoms:
Lu: 0.000 0.000 0.000 (multiplicity 4)
Fe: 0.250 0.250 0.750 (multiplicity 4)
Sn: 0.000 0.000 0.500 (multiplicity 4)
Pt: 0.250 0.250 0.250 (multiplicity 4)

Properties
Energy relative to the lowest polymorph listed for this composition, meV per atom: 0
Crystal system: cubic

***

No. 14
This record from the Open Quantum Materials Database describes crystalline LuZnFePt at its relaxed geometry. The functional is PBE.

Cell lengths 6.485, 6.485, 6.485 Å; angles 90.00, 90.00, 90.00 degrees
Space group F-43m (No. 216)
One atom of each set of equivalent atoms:
Lu: 0.000 0.000 0.000 (multiplicity 4)
Zn: 0.250 0.250 0.250 (multiplicity 4)
Fe: 0.000 0.000 0.500 (multiplicity 4)
Pt: 0.250 0.250 0.750 (multiplicity 4)

Properties
Energy relative to the lowest polymorph listed for this composition, meV per atom: 40
Crystal system: cubic
Energy of formation, kcal/mol of atoms: -7.65

***

No. 15
This record from the Open Quantum Materials Database describes crystalline LuZnFePt at its relaxed geometry. The functional is PBE.

Cell lengths 6.420, 6.420, 6.420 Å; angles 90.00, 90.00, 90.00 degrees
Space group F-43m (No. 216)
One atom of each set of equivalent atoms:
Lu: 0.000 0.000 0.000 (multiplicity 4)
Zn: 0.000 0.000 0.500 (multiplicity 4)
Fe: 0.250 0.250 0.750 (multiplicity 4)
Pt: 0.250 0.250 0.250 (multiplicity 4)

Properties
Energy relative to the lowest polymorph listed for this composition, meV per atom: 0
Crystal system: cubic
Energy of formation, kcal/mol of atoms: -8.57

***

No. 16
This record from the Open Quantum Materials Database describes crystalline LuPuFe at its relaxed geometry. The functional is PBE.

Cell lengths 6.227, 6.227, 6.227 Å; angles 90.00, 90.00, 90.00 degrees
Space group F-43m (No. 216)
One atom of each set of equivalent atoms:
Lu: 0.000 0.000 0.000 (multiplicity 4)
Pu: 0.250 0.250 0.250 (multiplicity 4)
Fe: 0.250 0.250 0.750 (multiplicity 4)

Properties
Crystal system: cubic
Energy of formation, kcal/mol of atoms: 35.52

***

No. 17
This record from the Open Quantum Materials Database describes crystalline RbLuFe at its relaxed geometry. The functional is PBE.

Cell lengths 7.297, 7.297, 7.297 Å; angles 90.00, 90.00, 90.00 degrees
Space group F-43m (No. 216)
One atom of each set of equivalent atoms:
Rb: 0.000 0.000 0.000 (multiplicity 4)
Lu: 0.000 0.000 0.500 (multiplicity 4)
Fe: 0.250 0.250 0.750 (multiplicity 4)

Properties
Energy relative to the lowest polymorph listed for this composition, meV per atom: 0
Crystal system: cubic

***

No. 18
This record from the Open Quantum Materials Database describes crystalline RbLuFe at its relaxed geometry. The functional is PBE.

Cell lengths 7.474, 7.474, 7.474 Å; angles 90.00, 90.00, 90.00 degrees
Space group F-43m (No. 216)
One atom of each set of equivalent atoms:
Rb: 0.000 0.000 0.000 (multiplicity 4)
Lu: 0.250 0.250 0.250 (multiplicity 4)
Fe: 0.250 0.250 0.750 (multiplicity 4)

Properties
Energy relative to the lowest polymorph listed for this composition, meV per atom: 555
Crystal system: cubic

***

No. 19
This record from the Open Quantum Materials Database describes crystalline LuFeRe2 at its relaxed geometry. The functional is PBE.

Cell lengths 6.304, 6.304, 6.304 Å; angles 90.00, 90.00, 90.00 degrees
Space group F-43m (No. 216)
One atom of each set of equivalent atoms:
Lu: 0.000 0.000 0.000 (multiplicity 4)
Fe: 0.250 0.250 0.250 (multiplicity 4)
Re: 0.000 0.000 0.500 (multiplicity 4)
Re: 0.250 0.250 0.750 (multiplicity 4)

Properties
Crystal system: cubic
Energy of formation, kcal/mol of atoms: 3.17

***

No. 20
This record from the Open Quantum Materials Database describes crystalline LuFeRe2 at its relaxed geometry. The functional is PBE.

Cell lengths 6.303, 6.303, 6.303 Å; angles 90.00, 90.00, 90.00 degrees
Space group F-43m (No. 216)
One atom of each set of equivalent atoms:
Lu: 0.000 0.000 0.000 (multiplicity 4)
Fe: 0.250 0.250 0.750 (multiplicity 4)
Re: 0.000 0.000 0.500 (multiplicity 4)
Re: 0.250 0.250 0.250 (multiplicity 4)

Properties
Crystal system: cubic
Energy of formation, kcal/mol of atoms: 3.17